DFT (PBE+U) results for a relaxed structure of SiNi2O4.

Energy above the lowest structure with this stoichiometry   24.3 meV/atom

Cell: 8.1169 8.1169 8.1169 Å, 90.00 90.00 90.00°
Space group Fd-3m (No. 227, origin choice 2)
Unique sites:
Si 0.1250 0.1250 0.1250 [8 per cell]
Ni 0.0000 0.0000 0.5000 [16 per cell]
O 0.0061 0.0061 0.2439 [32 per cell]